! SbOsPt | Alexandria | PBE-GGA | optimized geometry; values from VASP
&SYSTEM
  ibrav = 0, nat = 3, ntyp = 3
/
ATOMIC_SPECIES
Os 190.23 Os.upf
Pt 195.08 Pt.upf
Sb 121.76 Sb.upf
CELL_PARAMETERS angstrom
7.585 0.010 -0.006
6.739 2.820 0.020
0.846 -1.251 2.517
ATOMIC_POSITIONS crystal
Os 0.003 0.003 0.997
Pt 0.659 0.659 0.341
Sb 0.339 0.339 0.661
! Magnetic moment ... 0.0 Bohr magnetons per cell
! ΔE to the lowest computed polymorph ... 0.497 eV/atom
! SG ... Fmm2, No. 42



! YSi2Os | Alexandria | PBE-GGA | optimized geometry; values from VASP
&SYSTEM
  ibrav = 0, nat = 4, ntyp = 3
/
ATOMIC_SPECIES
Y 88.91 Y.upf
Si 28.09 Si.upf
Os 190.23 Os.upf
CELL_PARAMETERS angstrom
8.553 0.019 0.011
7.971 3.102 0.011
7.971 1.505 2.712
ATOMIC_POSITIONS crystal
Y 0.250 0.250 0.250
Si 0.485 0.485 0.485
Si 0.015 0.015 0.015
Os 0.750 0.750 0.750
! Electronic total energy ... -0.5247 Ry/atom
! Magnetic moment ... 0.0 Bohr magnetons per cell
! SG ... R-3m, No. 166



! Li4Tm3NpSe8 | Alexandria | PBE-GGA | optimized geometry; values from VASP
&SYSTEM
  ibrav = 0, nat = 16, ntyp = 4
/
ATOMIC_SPECIES
Se 78.96 Se.upf
Tm 168.93 Tm.upf
Li 6.94 Li.upf
Np 237.00 Np.upf
CELL_PARAMETERS angstrom
-6.468 -3.972 2.824
4.460 -3.074 5.892
-0.343 8.011 -1.129
ATOMIC_POSITIONS crystal
Se 0.745 0.753 0.999
Se 0.746 0.247 0.492
Se 0.750 0.750 0.500
Se 0.255 0.247 0.001
Se 0.746 0.247 0.001
Se 0.250 0.250 0.500
Se 0.254 0.753 0.999
Se 0.254 0.753 0.508
Tm 0.000 0.500 0.500
Tm 0.500 0.500 0.500
Tm 0.500 0.500 0.000
Li 0.500 0.000 0.500
Li 0.000 0.000 0.000
Li 0.000 0.000 0.500
Li 0.500 0.000 0.000
Np 0.000 0.500 0.000
! Electronic total energy ... -0.3985 Ry/atom
! Magnetic moment ... 4.0 Bohr magnetons per cell
! SG ... R-3m, No. 166



! ScRePO2 | Alexandria | PBE-GGA | optimized geometry; values from VASP
&SYSTEM
  ibrav = 0, nat = 5, ntyp = 4
/
ATOMIC_SPECIES
Re 186.21 Re.upf
O 16.00 O.upf
Sc 44.96 Sc.upf
P 30.97 P.upf
CELL_PARAMETERS angstrom
3.804 0.000 0.000
0.000 3.804 0.000
0.000 0.000 5.237
ATOMIC_POSITIONS crystal
Re 0.000 0.000 0.000
O 0.000 0.500 0.000
O 0.500 0.000 0.000
Sc 0.500 0.500 0.500
P 0.000 0.000 0.500
! Magnetic moment ... 0.0 Bohr magnetons per cell
! ΔE to the lowest computed polymorph ... 0.000 eV/atom
! SG ... P4/mmm, No. 123



! NdZnAg2 | Alexandria | PBE-GGA | optimized geometry; values from VASP
&SYSTEM
  ibrav = 0, nat = 8, ntyp = 3
/
ATOMIC_SPECIES
Ag 107.87 Ag.upf
Nd 144.24 Nd.upf
Zn 65.41 Zn.upf
CELL_PARAMETERS angstrom
-5.038 -0.693 1.986
-3.863 -2.013 -3.283
4.102 -5.761 0.890
ATOMIC_POSITIONS crystal
Ag 0.420 0.598 0.672
Ag 0.580 0.402 0.328
Ag 0.248 0.098 0.328
Ag 0.752 0.902 0.672
Nd 0.873 0.750 0.246
Nd 0.127 0.250 0.754
Zn 0.751 0.250 0.003
Zn 0.249 0.750 0.997
! Magnetic moment ... 0.0 Bohr magnetons per cell
! SG ... C2/c, No. 15
! Energy of formation ... -255 meV per atom